Sc3Sn | Alexandria | GGA-PBEsol | optimized geometry; space-group type = Pm-3m (221); energy of formation from the pure elements = -471 meV per atom; spin magnetization = 0.449 μB/atom; E_tot = -6.49 eV per atom
1.0
4.443 0.000 0.000
0.000 4.443 0.000
0.000 0.000 4.443
Sc Sn
3 1
Direct
0.000 0.000 0.500
0.000 0.500 0.000
0.500 0.000 0.000
0.500 0.500 0.500